[1]
## SrAsPt2 (PBE)

Data for an optimized crystal structure of SrAsPt2.

Results
Energy of formation in eV/atom: -0.6995
Crystal system: tetragonal
Electronic total energy in Ry/atom: -0.390
DOS at the Fermi energy in states/eV/cell: 2.23

a = 5.1393 Å, b = 5.1393 Å, c = 8.9535 Å
α = 73.32°, β = 73.32°, γ = 90.00°
Closest atoms and distances in Å follow each position.
Sites, in units of the cell vectors:
Sr 0.0000 0.0000 0.0000  8 Pt 3.38-3.68, 4 As 3.63
Sr 0.7500 0.2500 0.5000  8 Pt 3.38-3.68, 4 As 3.63
As 0.5000 0.5000 0.0000  4 Pt 2.42
As 0.2500 0.7500 0.5000  4 Pt 2.42
Pt 0.4155 0.1250 0.2500  2 As 2.42, 2 Pt 2.60
Pt 0.3345 0.6250 0.2500  2 As 2.42, 2 Pt 2.60
Pt 0.3750 0.5845 0.7500  2 As 2.42, 2 Pt 2.60
Pt 0.8750 0.6655 0.7500  2 As 2.42, 2 Pt 2.60

[2]
## LaAs2Ru (PBE)

Data for an optimized crystal structure of LaAs2Ru.

Results
Energy of formation in eV/atom: -0.7005
Crystal system: monoclinic
Electronic total energy in Ry/atom: -0.483
Energy above the lowest structure with this stoichiometry in meV/atom: 209
DOS at the Fermi energy in states/eV/cell: 3.39

a = 4.1642 Å, b = 4.5356 Å, c = 4.7569 Å
α = 75.91°, β = 90.00°, γ = 90.00°
Closest atoms and distances in Å follow each position.
Sites, in units of the cell vectors:
Ru 0.5000 0.7500 0.7500  4 As 2.51
As 0.0000 0.8920 0.9787  2 Ru 2.51, 2 As 2.59-2.79
As 0.0000 0.6080 0.5213  2 Ru 2.51, 2 As 2.59-2.79
La 0.5000 0.2500 0.2500  2 Ru 2.86, 4 As 3.11

[3]
## LiNdI (PBE)

Data for an optimized crystal structure of LiNdI.

Results
Crystal system: monoclinic
Electronic total energy in Ry/atom: -0.240
DOS at the Fermi energy in states/eV/cell: 5.79
Formation energy from raw total energies in eV per atom: -0.525

a = 7.3497 Å, b = 7.4816 Å, c = 7.4818 Å
α = 64.22°, β = 75.46°, γ = 75.45°
Closest atoms and distances in Å follow each position.
Sites, in units of the cell vectors:
I 0.2392 0.6809 0.9309  3 Li 2.97-3.05, 3 Nd 3.23-3.25
I 0.7608 0.8191 0.5690  3 Li 2.97-3.05, 3 Nd 3.23-3.25
I 0.7608 0.3191 0.0691  3 Li 2.97-3.05, 3 Nd 3.23-3.25
I 0.2392 0.1809 0.4310  3 Li 2.97-3.05, 3 Nd 3.23-3.25
Nd 0.1148 0.4569 0.7070  4 I 3.23-3.34, 3 Li 3.35-3.36
Nd 0.1148 0.9570 0.2070  4 I 3.23-3.34, 3 Li 3.35-3.36
Nd 0.8852 0.5431 0.2930  4 I 3.23-3.34, 3 Li 3.35-3.36
Nd 0.8852 0.0430 0.7930  4 I 3.23-3.34, 3 Li 3.35-3.36
Li 0.5664 0.4662 0.7159  3 I 2.97-3.05
Li 0.5664 0.9663 0.2159  3 I 2.97-3.05
Li 0.4336 0.5338 0.2841  3 I 2.97-3.05
Li 0.4336 0.0337 0.7841  3 I 2.97-3.05

electronic total energy of number 1 (SrAsPt2)? -0.390 Ry/atom